VASP calculation (PBE-GGA) on Rb2SrFeCl6 after structural relaxation.

Formation energy (no corrections)   -1.720 eV/atom
SG   P2_1/c, No. 14
Theoretical density   2946 kg/m³
Fermi-level density of states   13.174 states/eV/cell
V   594.3 Å³/cell

Cell lengths 7.4441, 7.5304, 12.9207 Å; angles 90.00, 124.87, 90.00 degrees
Atoms (fractional coordinates):
Rb 0.2393 0.0404 0.2487
Rb 0.2393 0.4596 0.7487
Rb 0.7607 0.5404 0.2513
Rb 0.7607 0.9596 0.7513
Sr 0.5000 0.0000 0.0000
Sr 0.5000 0.5000 0.5000
Fe 0.0000 0.0000 0.5000
Fe 0.0000 0.5000 0.0000
Cl 0.1632 0.2311 0.9684
Cl 0.1632 0.2689 0.4684
Cl 0.2388 0.6960 0.9696
Cl 0.2388 0.8040 0.4696
Cl 0.2912 0.0105 0.7318
Cl 0.2912 0.4895 0.2318
Cl 0.7088 0.5105 0.7682
Cl 0.7088 0.9895 0.2682
Cl 0.7612 0.1960 0.5304
Cl 0.7612 0.3040 0.0304
Cl 0.8368 0.7311 0.5316
Cl 0.8368 0.7689 0.0316